Record 1
Zr2ClF (GGA-PBE, relaxed); excess energy over the best structure of this formula in the dataset = 67.1 meV per atom; raw formation energy = -0.711 eV per atom; total energy = -5.9150 eV/atom; space-group type = Fm-3m; crystal system = cubic
1.0
0.000 3.203 3.203
3.203 0.000 3.203
3.203 3.203 0.000
F Zr Cl
1 2 1
Cartesian
0.000 0.000 0.000
1.602 1.602 1.602
4.805 4.805 4.805
3.203 3.203 3.203

Record 2
Zn2Sb2Pb (GGA-PBE, relaxed); raw formation energy = 0.038 eV per atom; total energy = -2.8625 eV/atom; space-group type = Pnma; crystal system = orthorhombic
1.0
4.351 0.000 0.000
0.000 9.927 0.000
0.000 0.000 12.312
Zn Sb Pb
8 8 4
Cartesian
3.263 4.616 7.492
1.088 0.348 1.336
1.088 5.311 4.819
3.263 9.579 10.975
1.088 0.582 6.959
3.263 4.382 0.803
3.263 9.345 5.352
1.088 5.545 11.508
3.263 9.529 8.268
1.088 5.362 2.112
1.088 0.399 4.044
3.263 4.565 10.200
1.088 3.242 6.700
3.263 1.722 0.544
3.263 6.685 5.612
1.088 8.205 11.768
1.088 2.088 10.125
3.263 2.875 3.969
3.263 7.839 2.186
1.088 7.052 8.342

Record 3
CrTeRh (GGA-PBE, relaxed); raw formation energy = 0.326 eV per atom; total energy = -6.3790 eV/atom; space-group type = Cm; crystal system = monoclinic
1.0
-4.764 -2.193 -3.826
0.292 -2.696 1.182
-1.668 2.532 6.188
Cr Te Rh
2 2 2
Cartesian
-4.347 -0.955 -1.105
-5.035 -1.037 2.580
-3.816 1.145 3.553
-2.836 -1.470 1.050
-1.270 1.694 4.178
-0.290 -0.920 1.675

Record 4
Tl2PbBr (GGA-PBE, relaxed); excess energy over the best structure of this formula in the dataset = 2.3 meV per atom; raw formation energy = -0.273 eV per atom; total energy = -2.8012 eV/atom; space-group type = P2/m; crystal system = monoclinic
1.0
5.875 0.000 0.000
0.000 3.646 -0.118
0.000 0.213 5.870
Pb Tl Br
1 2 1
Cartesian
2.938 2.466 5.063
0.000 0.643 5.121
2.938 0.536 2.187
0.000 2.356 2.127

Record 5
Al2CoIr (GGA-PBE, relaxed); excess energy over the best structure of this formula in the dataset = 0.0 meV per atom; calculated formation energy = -784.4 meV/atom; total energy = -6.6474 eV/atom; space-group type = Fm-3m; crystal system = cubic
1.0
0.000 2.948 2.948
2.948 0.000 2.948
2.948 2.948 0.000
Ir Co Al
1 1 2
Cartesian
2.948 2.948 2.948
0.000 0.000 0.000
1.474 1.474 1.474
4.422 4.422 4.422

Record 6
AlCuCl (GGA-PBE, relaxed); excess energy over the best structure of this formula in the dataset = 141.4 meV per atom; raw formation energy = -0.044 eV per atom; total energy = -3.2729 eV/atom; space-group type = Fmm2; crystal system = orthorhombic
1.0
-5.224 -0.353 3.337
-5.799 -0.758 0.177
-0.121 -2.728 1.739
Al Cu Cl
1 1 1
Cartesian
-10.890 -1.130 3.493
-3.846 -2.176 2.346
-7.431 -1.644 2.930